Material: HgTe2IN
Method: DFT, PBE
State: optimized geometry

## Properties
Space-group type   P4/mmm, No. 123

a = 6.167 Å, b = 6.167 Å, c = 3.911 Å
α = 90.00°, β = 90.00°, γ = 90.00°
Sites, in units of the cell vectors:
Hg1 0.000 0.000 0.000
Te1 0.000 0.500 0.500
Te2 0.500 0.000 0.500
I1 0.500 0.500 0.500
N1 0.500 0.500 0.000



Material: HgTe2IN
Method: DFT, PBE
State: optimized geometry

## Properties
Space-group type   P4/mmm, No. 123

a = 4.982 Å, b = 4.982 Å, c = 4.895 Å
α = 90.00°, β = 90.00°, γ = 90.00°
Sites, in units of the cell vectors:
Hg1 0.000 0.000 0.000
Te1 0.000 0.500 0.500
Te2 0.500 0.000 0.500
I1 0.500 0.500 0.000
N1 0.500 0.500 0.500



Material: HgTe2IN
Method: DFT, PBE
State: optimized geometry

## Properties
Space-group type   P4/mmm, No. 123

a = 5.657 Å, b = 5.657 Å, c = 5.721 Å
α = 90.00°, β = 90.00°, γ = 90.00°
Sites, in units of the cell vectors:
Hg1 0.000 0.000 0.000
Te1 0.000 0.500 0.000
Te2 0.500 0.000 0.000
I1 0.000 0.000 0.500
N1 0.500 0.500 0.500



Material: TlHgIN2
Method: DFT, PBE
State: optimized geometry

## Properties
Space-group type   P4/mmm, No. 123

a = 4.426 Å, b = 4.426 Å, c = 7.483 Å
α = 90.00°, β = 90.00°, γ = 90.00°
Sites, in units of the cell vectors:
Tl1 0.000 0.000 0.000
Hg1 0.500 0.500 0.500
I1 0.000 0.000 0.500
N1 0.000 0.500 0.000
N2 0.500 0.000 0.000



Material: TlHgIN2
Method: DFT, PBE
State: optimized geometry

## Properties
Space-group type   P4/mmm, No. 123

a = 4.683 Å, b = 4.683 Å, c = 6.651 Å
α = 90.00°, β = 90.00°, γ = 90.00°
Sites, in units of the cell vectors:
Tl1 0.000 0.000 0.000
Hg1 0.500 0.500 0.500
I1 0.500 0.500 0.000
N1 0.000 0.500 0.500
N2 0.500 0.000 0.500



Material: VHgIN2
Method: DFT, PBE
State: optimized geometry

## Properties
Space-group type   P4/mmm, No. 123

a = 3.950 Å, b = 3.950 Å, c = 5.752 Å
α = 90.00°, β = 90.00°, γ = 90.00°
Sites, in units of the cell vectors:
V1 0.000 0.000 0.000
Hg1 0.500 0.500 0.500
I1 0.000 0.000 0.500
N1 0.000 0.500 0.000
N2 0.500 0.000 0.000



Material: VHgIN2
Method: DFT, PBE
State: optimized geometry

## Properties
Space-group type   P4/mmm, No. 123

a = 4.224 Å, b = 4.224 Å, c = 6.664 Å
α = 90.00°, β = 90.00°, γ = 90.00°
Sites, in units of the cell vectors:
V1 0.000 0.000 0.000
Hg1 0.500 0.500 0.500
I1 0.500 0.500 0.000
N1 0.000 0.500 0.500
N2 0.500 0.000 0.500



Material: VHgI2N
Method: DFT, PBE
State: optimized geometry

## Properties
Space-group type   P4/mmm, No. 123

a = 5.676 Å, b = 5.676 Å, c = 3.708 Å
α = 90.00°, β = 90.00°, γ = 90.00°
Sites, in units of the cell vectors:
V1 0.000 0.000 0.000
Hg1 0.500 0.500 0.500
I1 0.000 0.500 0.000
I2 0.500 0.000 0.000
N1 0.000 0.000 0.500



Ordered excess energy over the best structure of this formula in the dataset results: 0.357 0.000 1.072 0.099 0.000 0.000 1.607 0.000; unit eV per atom.
Ordered electronic total energy results: -0.156 -0.183 -0.104 -0.188 -0.195 -0.359 -0.241 -0.301; unit Ry/atom.